{"formula": "ZnC5", "functional": "PBE-GGA", "state": "optimized geometry", "lattice_angstrom": [[-2.6506, -0.6321, -2.0259], [0.3202, -1.6601, 2.9446], [-3.6455, 4.9935, 3.2116]], "species": ["Zn", "C", "C", "C", "C", "C"], "frac_coords": [[0.0000, 0.0000, 0.5000], [0.5000, 0.0000, 0.0000], [0.5000, 0.5000, 0.0000], [0.0000, 0.5000, 0.0000], [0.6667, 0.3333, 0.5000], [0.3333, 0.6667, 0.5000]], "formation_enthalpy_0k_mev_per_atom": 2938.3, "relative_energy_ev_per_atom": 2.156}

=====

{"formula": "SrLa2Pb", "functional": "PBE-GGA", "state": "optimized geometry", "lattice_angstrom": [[6.8502, 0.2154, 0.9313], [5.7170, 3.7798, 0.9313], [2.1067, 0.6697, 6.1480]], "species": ["La", "La", "Pb", "Sr"], "frac_coords": [[0.9982, 0.9982, 0.0585], [0.2251, 0.2251, 0.1930], [0.5037, 0.5037, 0.6021], [0.7731, 0.7731, 0.6464]], "formation_enthalpy_0k_mev_per_atom": -212.6}

=====

{"formula": "Mg2Al3Pt4", "functional": "PBE-GGA", "state": "optimized geometry", "lattice_angstrom": [[5.2245, 0.0000, -2.0468], [0.0000, 7.2094, 0.0000], [0.0952, 0.0000, 7.9343]], "species": ["Mg", "Mg", "Mg", "Mg", "Al", "Al", "Al", "Al", "Al", "Al", "Pt", "Pt", "Pt", "Pt", "Pt", "Pt", "Pt", "Pt"], "frac_coords": [[0.0976, 0.5906, 0.1953], [0.9024, 0.4094, 0.8047], [0.4024, 0.0906, 0.8047], [0.5976, 0.9094, 0.1953], [0.0000, 0.0000, 0.0000], [0.5000, 0.5000, 0.0000], [0.5180, 0.7500, 0.5360], [0.9820, 0.2500, 0.4640], [0.4820, 0.2500, 0.4640], [0.0180, 0.7500, 0.5360], [0.6877, 0.7500, 0.8753], [0.8123, 0.2500, 0.1247], [0.3123, 0.2500, 0.1247], [0.1877, 0.7500, 0.8753], [0.1754, 0.9641, 0.3509], [0.8246, 0.0359, 0.6491], [0.3246, 0.4641, 0.6491], [0.6754, 0.5359, 0.3509]], "formation_enthalpy_0k_mev_per_atom": -916.1}

=====

{"formula": "Na2CdPd5Au2", "functional": "PBE-GGA", "state": "optimized geometry", "lattice_angstrom": [[-3.6965, -0.0369, 2.2643], [-4.7520, -1.6565, -7.7847], [0.9315, -9.1202, 1.3721]], "species": ["Na", "Na", "Na", "Na", "Cd", "Cd", "Pd", "Pd", "Pd", "Pd", "Pd", "Pd", "Pd", "Pd", "Pd", "Pd", "Au", "Au", "Au", "Au"], "frac_coords": [[0.0000, 0.6718, 0.1718], [0.0000, 0.3282, 0.8282], [0.0000, 0.1718, 0.3282], [0.0000, 0.8282, 0.6718], [0.0000, 0.0000, 0.0000], [0.0000, 0.5000, 0.5000], [0.5000, 0.1993, 0.0692], [0.5000, 0.8007, 0.9308], [0.5000, 0.0692, 0.8007], [0.5000, 0.6993, 0.4308], [0.5000, 0.9308, 0.1993], [0.5000, 0.3007, 0.5692], [0.5000, 0.5692, 0.6993], [0.5000, 0.4308, 0.3007], [0.5000, 0.5000, 0.0000], [0.5000, 0.0000, 0.5000], [0.0000, 0.1251, 0.6251], [0.0000, 0.8749, 0.3749], [0.0000, 0.6251, 0.8749], [0.0000, 0.3749, 0.1251]], "formation_enthalpy_0k_mev_per_atom": -155.2}

=====

{"formula": "CrTeW", "functional": "PBE-GGA", "state": "optimized geometry", "lattice_angstrom": [[4.6850, -0.0003, 0.0039], [1.8185, 4.3176, -0.0039], [-2.8419, -2.7761, 2.4831]], "species": ["Cr", "Te", "W"], "frac_coords": [[0.9993, 0.9993, 0.0000], [0.3309, 0.3309, 0.0000], [0.6698, 0.6698, 0.0000]], "formation_energy_uncorrected_ev_per_atom": 0.761, "relative_energy_ev_per_atom": 0.342}

=====

{"formula": "PmNd2MnSe5", "functional": "PBE-GGA", "state": "optimized geometry", "lattice_angstrom": [[4.0936, 0.0000, 0.0000], [-2.0468, 8.8138, 0.0000], [0.0000, 0.0000, 12.5820]], "species": ["Pm", "Pm", "Nd", "Nd", "Nd", "Nd", "Mn", "Mn", "Se", "Se", "Se", "Se", "Se", "Se", "Se", "Se", "Se", "Se"], "frac_coords": [[0.8206, 0.6412, 0.5267], [0.1794, 0.3588, 0.0267], [0.8816, 0.7632, 0.8469], [0.1200, 0.2401, 0.6927], [0.1184, 0.2368, 0.3469], [0.8800, 0.7599, 0.1927], [0.5511, 0.1022, 0.9232], [0.4489, 0.8978, 0.4232], [0.3448, 0.6895, 0.0182], [0.6865, 0.3730, 0.8552], [0.4934, 0.9869, 0.7484], [0.3018, 0.6036, 0.6940], [0.9884, 0.9767, 0.5187], [0.6552, 0.3105, 0.5182], [0.3135, 0.6270, 0.3552], [0.5065, 0.0131, 0.2484], [0.6982, 0.3964, 0.1940], [0.0116, 0.0233, 0.0187]], "formation_energy_uncorrected_ev_per_atom": -1.545}

=====

{"formula": "AsSe3", "functional": "PBE-GGA", "state": "optimized geometry", "lattice_angstrom": [[7.5764, 0.0000, 0.0000], [-3.7882, 6.5613, 0.0000], [0.0000, 0.0000, 7.2029]], "species": ["As", "As", "As", "As", "Se", "Se", "Se", "Se", "Se", "Se", "Se", "Se", "Se", "Se", "Se", "Se"], "frac_coords": [[0.0000, 0.0000, 0.0000], [0.0000, 0.0000, 0.5000], [0.3333, 0.6667, 0.2500], [0.6667, 0.3333, 0.7500], [0.5000, 0.0000, 0.0000], [0.5000, 0.0000, 0.5000], [0.0000, 0.5000, 0.0000], [0.5000, 0.5000, 0.0000], [0.5000, 0.5000, 0.5000], [0.0000, 0.5000, 0.5000], [0.8387, 0.6775, 0.2500], [0.1613, 0.3225, 0.7500], [0.3225, 0.1613, 0.2500], [0.8387, 0.1613, 0.2500], [0.1613, 0.8387, 0.7500], [0.6775, 0.8387, 0.7500]], "formation_energy_uncorrected_ev_per_atom": 0.239, "relative_energy_ev_per_atom": 0.168}

=====

{"formula": "DyHf2Th", "functional": "PBE-GGA", "state": "optimized geometry", "lattice_angstrom": [[-2.7174, -1.6685, -1.1039], [-0.2240, -3.3382, 0.4394], [-5.8312, -0.0866, 9.3271]], "species": ["Hf", "Hf", "Th", "Dy"], "frac_coords": [[0.2511, 0.2511, 0.2467], [0.7489, 0.7489, 0.7533], [0.0000, 0.0000, 0.0000], [0.5000, 0.5000, 0.5000]], "formation_enthalpy_0k_mev_per_atom": 217.4, "relative_energy_ev_per_atom": 0.053}

=====

{"formula": "H10PbC6S2IN", "functional": "PBE-GGA", "state": "optimized geometry", "lattice_angstrom": [[-3.3232, 0.1857, -3.4648], [0.9260, -11.6052, 0.6408], [-7.9560, 4.7362, 8.2325]], "species": ["H", "H", "H", "H", "H", "H", "H", "H", "H", "H", "H", "H", "H", "H", "H", "H", "H", "H", "H", "H", "Pb", "Pb", "C", "C", "C", "C", "C", "C", "C", "C", "C", "C", "C", "C", "S", "S", "S", "S", "I", "I", "N", "N"], "frac_coords": [[0.3204, 0.6041, 0.2533], [0.6796, 0.3959, 0.7467], [0.0713, 0.5327, 0.1286], [0.9287, 0.4673, 0.8714], [0.1845, 0.7678, 0.1900], [0.8155, 0.2322, 0.8100], [0.8239, 0.7191, 0.1974], [0.1761, 0.2809, 0.8026], [0.2789, 0.8412, 0.4047], [0.7211, 0.1588, 0.5953], [0.9912, 0.9086, 0.3780], [0.0088, 0.0914, 0.6220], [0.6527, 0.7527, 0.4153], [0.3473, 0.2473, 0.5847], [0.9154, 0.8168, 0.5343], [0.0846, 0.1832, 0.4657], [0.7968, 0.5799, 0.4596], [0.2032, 0.4201, 0.5404], [0.1574, 0.6306, 0.4502], [0.8426, 0.3694, 0.5498], [0.2954, 0.1782, 0.1157], [0.7046, 0.8218, 0.8843], [0.7503, 0.4326, 0.2412], [0.2497, 0.5674, 0.7588], [0.1008, 0.5983, 0.2215], [0.8992, 0.4017, 0.7785], [0.0367, 0.7291, 0.2382], [0.9633, 0.2709, 0.7618], [0.0572, 0.8186, 0.3686], [0.9428, 0.1814, 0.6314], [0.8780, 0.7587, 0.4390], [0.1220, 0.2413, 0.5610], [0.9404, 0.6261, 0.4162], [0.0596, 0.3739, 0.5838], [0.7630, 0.3356, 0.0930], [0.2370, 0.6644, 0.9070], [0.5207, 0.3824, 0.3243], [0.4793, 0.6176, 0.6757], [0.6707, 0.0082, 0.1776], [0.3293, 0.9918, 0.8224], [0.9167, 0.5453, 0.2892], [0.0833, 0.4547, 0.7108]]}

=====

{"formula": "CoRh2", "functional": "PBE-GGA", "state": "optimized geometry", "lattice_angstrom": [[2.6784, 0.0000, 0.0000], [0.0000, 7.9671, 0.0000], [0.0000, 0.0000, 3.7349]], "species": ["Co", "Co", "Rh", "Rh", "Rh", "Rh"], "frac_coords": [[0.0000, 0.0057, 0.0000], [0.5000, 0.1609, 0.5000], [0.0000, 0.3186, 0.0000], [0.5000, 0.4959, 0.5000], [0.0000, 0.6707, 0.0000], [0.5000, 0.8481, 0.5000]], "formation_enthalpy_0k_mev_per_atom": 57.6}

=====

{"formula": "TaTeAuO6", "functional": "PBE-GGA", "state": "optimized geometry", "lattice_angstrom": [[5.3729, 0.0000, 0.0000], [-2.6864, 4.6531, 0.0000], [0.0000, 0.0000, 10.3574]], "species": ["Ta", "Ta", "Te", "Te", "Au", "Au", "O", "O", "O", "O", "O", "O", "O", "O", "O", "O", "O", "O"], "frac_coords": [[0.3333, 0.6667, 0.2500], [0.6667, 0.3333, 0.7500], [0.6667, 0.3333, 0.2500], [0.3333, 0.6667, 0.7500], [0.0000, 0.0000, 0.0000], [0.0000, 0.0000, 0.5000], [0.6203, 0.6143, 0.1446], [0.9940, 0.3797, 0.1446], [0.3797, 0.9940, 0.6446], [0.0060, 0.6203, 0.8554], [0.3857, 0.3797, 0.3554], [0.9940, 0.6143, 0.3554], [0.6143, 0.9940, 0.8554], [0.6203, 0.0060, 0.3554], [0.0060, 0.3857, 0.6446], [0.3857, 0.0060, 0.1446], [0.6143, 0.6203, 0.6446], [0.3797, 0.3857, 0.8554]], "formation_energy_uncorrected_ev_per_atom": -1.306}

=====

{"formula": "AcZn3CuPd", "functional": "PBE-GGA", "state": "optimized geometry", "lattice_angstrom": [[5.8636, 0.0000, 0.0000], [0.0000, 6.3047, 0.0000], [0.0000, -3.1524, 6.4360]], "species": ["Ac", "Ac", "Zn", "Zn", "Zn", "Zn", "Zn", "Zn", "Cu", "Cu", "Pd", "Pd"], "frac_coords": [[0.7500, 0.2741, 0.5482], [0.2500, 0.7259, 0.4518], [0.2500, 0.1437, 0.2873], [0.0000, 0.2981, 0.0000], [0.5000, 0.7019, 0.0000], [0.5000, 0.2981, 0.0000], [0.0000, 0.7019, 0.0000], [0.7500, 0.8563, 0.7127], [0.2500, 0.9538, 0.9076], [0.7500, 0.0462, 0.0924], [0.2500, 0.3493, 0.6986], [0.7500, 0.6507, 0.3014]], "formation_enthalpy_0k_mev_per_atom": -264.0}

=====

{"formula": "KLaPt2", "functional": "PBE-GGA", "state": "optimized geometry", "lattice_angstrom": [[-2.2970, -1.4783, -2.4565], [2.7238, -2.1079, -1.2784], [-1.4997, -9.2255, 1.4611]], "species": ["K", "La", "Pt", "Pt"], "frac_coords": [[0.7500, 0.7500, 0.7500], [0.2500, 0.2500, 0.2500], [0.9494, 0.9494, 0.0508], [0.5506, 0.5506, 0.4492]], "formation_enthalpy_0k_mev_per_atom": -646.7}

=====

{"formula": "Ac6Hg4Pb7", "functional": "PBE-GGA", "state": "optimized geometry", "lattice_angstrom": [[8.7507, 0.0000, -3.0938], [-4.3753, 7.5783, -3.0938], [0.0000, 0.0000, 9.2815]], "species": ["Ac", "Ac", "Ac", "Ac", "Ac", "Ac", "Hg", "Hg", "Hg", "Hg", "Pb", "Pb", "Pb", "Pb", "Pb", "Pb", "Pb"], "frac_coords": [[0.6990, 0.0000, 0.6990], [0.6990, 0.6990, 0.0000], [0.0000, 0.3010, 0.3010], [0.3010, 0.0000, 0.3010], [0.3010, 0.3010, 0.0000], [0.0000, 0.6990, 0.6990], [0.5000, 0.0000, 0.0000], [0.5000, 0.5000, 0.5000], [0.0000, 0.5000, 0.0000], [0.0000, 0.0000, 0.5000], [0.7500, 0.5000, 0.2500], [0.2500, 0.7500, 0.5000], [0.5000, 0.7500, 0.2500], [0.7500, 0.2500, 0.5000], [0.2500, 0.5000, 0.7500], [0.5000, 0.2500, 0.7500], [0.0000, 0.0000, 0.0000]], "formation_enthalpy_0k_mev_per_atom": -175.4}

=====

{"formula": "RbTaGe", "functional": "PBE-GGA", "state": "optimized geometry", "lattice_angstrom": [[2.9916, -0.0002, -0.0035], [0.0002, 4.3296, 0.0004], [0.0350, 2.1195, 6.7170]], "species": ["Rb", "Ta", "Ge"], "frac_coords": [[0.1317, 0.5521, 0.3372], [0.1342, 0.8284, 0.7941], [0.6333, 0.2971, 0.8579]], "formation_enthalpy_0k_mev_per_atom": 573.0, "relative_energy_ev_per_atom": 0.125}

=====

{"formula": "Pr2TcI", "functional": "PBE-GGA", "state": "optimized geometry", "lattice_angstrom": [[-0.5956, -2.6263, 2.4592], [3.0533, 0.9497, 1.7537], [-4.4040, 5.4267, 4.7289]], "species": ["Pr", "Pr", "I", "Tc"], "frac_coords": [[0.0000, 0.0000, 0.7993], [0.0000, 0.0000, 0.2007], [0.5000, 0.5000, 0.5000], [0.5000, 0.5000, 0.0000]], "formation_energy_uncorrected_ev_per_atom": -0.358, "relative_energy_ev_per_atom": 0.000}

=====

{"formula": "Cd4InI8", "functional": "PBE-GGA", "state": "optimized geometry", "lattice_angstrom": [[-7.3038, -4.5873, -3.3494], [0.8363, -5.0209, -7.7265], [-0.2578, -9.2386, 0.4357]], "species": ["Cd", "Cd", "Cd", "Cd", "In", "I", "I", "I", "I", "I", "I", "I", "I"], "frac_coords": [[0.8949, 0.3684, 0.3684], [0.3684, 0.8949, 0.3684], [0.3684, 0.3684, 0.8949], [0.3684, 0.3684, 0.3684], [0.7500, 0.7500, 0.7500], [0.6006, 0.1331, 0.1331], [0.1331, 0.6006, 0.1331], [0.1331, 0.1331, 0.6006], [0.1331, 0.1331, 0.1331], [0.1778, 0.6074, 0.6074], [0.6074, 0.1778, 0.6074], [0.6074, 0.6074, 0.1778], [0.6074, 0.6074, 0.6074]], "formation_energy_uncorrected_ev_per_atom": -0.408}

=====

{"formula": "CdOsBr2", "functional": "PBE-GGA", "state": "optimized geometry", "lattice_angstrom": [[-2.7997, 2.1541, -7.9412], [1.7104, -8.0527, -2.7874], [-3.0789, -3.7241, -4.6810]], "species": ["Os", "Os", "Br", "Br", "Br", "Br", "Cd", "Cd"], "frac_coords": [[0.0000, 0.0000, 0.0000], [0.7500, 0.2500, 0.5000], [0.7534, 0.1250, 0.2500], [0.9966, 0.6250, 0.2500], [0.3750, 0.2466, 0.7500], [0.8750, 0.0034, 0.7500], [0.5000, 0.5000, 0.0000], [0.2500, 0.7500, 0.5000]], "formation_energy_uncorrected_ev_per_atom": 0.443, "relative_energy_ev_per_atom": 0.211}

=====

{"formula": "SbMo2Ir", "functional": "PBE-GGA", "state": "optimized geometry", "lattice_angstrom": [[-1.0867, -1.5599, 3.7477], [2.7379, -1.0529, 0.3557], [4.2459, 3.5798, 2.7212]], "species": ["Ir", "Mo", "Mo", "Sb"], "frac_coords": [[0.5000, 0.7500, 0.7500], [0.0000, 0.0170, 0.9805], [0.0000, 0.4830, 0.5195], [0.5000, 0.2500, 0.2500]], "formation_energy_uncorrected_ev_per_atom": 0.185}

=====

{"formula": "FeCo2BN", "functional": "PBE-GGA", "state": "optimized geometry", "lattice_angstrom": [[-2.1679, -3.8127, 0.3787], [2.7086, -1.4022, 1.3887], [-1.4215, 1.2044, 3.9886]], "species": ["B", "Co", "Co", "Fe", "N"], "frac_coords": [[0.5000, 0.5000, 0.5000], [0.0000, 0.0000, 0.5000], [0.5000, 0.0000, 0.0000], [0.0000, 0.0000, 0.0000], [0.0000, 0.5000, 0.0000]], "formation_energy_uncorrected_ev_per_atom": 1.525}

=====

{"formula": "Ta5Mo3", "functional": "PBE-GGA", "state": "optimized geometry", "lattice_angstrom": [[-0.3458, 2.4644, 2.0714], [7.8523, 0.3436, 21.1465], [3.1192, -0.2591, 0.8290]], "species": ["Mo", "Mo", "Mo", "Ta", "Ta", "Ta", "Ta", "Ta"], "frac_coords": [[0.9728, 0.0068, 0.9728], [0.0000, 0.1250, 0.0000], [0.0272, 0.2432, 0.0272], [0.0424, 0.3644, 0.0424], [0.0170, 0.4958, 0.0170], [0.0000, 0.6250, 0.0000], [0.9830, 0.7542, 0.9830], [0.9576, 0.8856, 0.9576]], "formation_enthalpy_0k_mev_per_atom": -68.0, "relative_energy_ev_per_atom": 0.105}

=====

The calculation returns the following density of states at the Fermi level values, one per record and in order: 0.75; 0.74; 0.28; 0.65; 0.70; 0.39; 0.62; 1.39; 0.00; 1.62; 0.30; 0.55; 0.23; 1.24; 0.80; 0.53; 0.47; 0.80; 0.77; 1.36; 1.13 states/eV/atom.
The calculation returns the following VASP energy values, one per record and in order: -4.961; -4.024; -5.203; -3.762; -7.812; -6.087; -3.537; -7.765; -5.452; -7.212; -6.642; -3.134; -5.173; -3.223; -5.239; -5.726; -1.854; -3.430; -8.476; -6.010; -11.538 eV/atom.
The calculation returns the following magnetization values, one per record and in order: 0.00; 0.00; 0.00; 0.00; 0.00; 8.62; 0.00; 0.00; 0.00; 4.40; 0.00; 0.00; 0.00; 0.00; 0.00; 0.00; 0.00; 0.77; 0.00; 4.88; 0.00 μB/cell.